# 1
Zr2AuO: relaxed, PBE.

Cell lengths 3.3856, 3.3856, 20.5269 Å; angles 90.00, 90.00, 120.00 degrees
Space group R-3m (No. 166, hexagonal axes)
Unique sites:
Zr 0.0000 0.0000 0.2261 x6
Au 0.0000 0.0000 0.0000 x3
O 0.0000 0.0000 0.5000 x3

Values from the calculation:
The total moment comes out at 0.000 Bohr magnetons per cell. The electronic total energy is -7.698 eV per atom. The calculation puts the energy relative to the elements, uncorrected at -1.36 eV per atom.


# 2
Zr2AuO: relaxed, PBE.

Cell lengths 5.5030, 5.5030, 11.0325 Å; angles 90.00, 90.00, 90.00 degrees
Space group I-42d (No. 122)
Unique sites:
Zr 0.1569 0.2500 0.1250 x8
Au 0.0000 0.0000 0.5000 x4
O 0.0000 0.0000 0.0000 x4

Values from the calculation:
The total moment comes out at 0.000 Bohr magnetons per cell. The electronic total energy is -7.524 eV per atom. The calculation puts the energy relative to the elements, uncorrected at -1.19 eV per atom.


# 3
ZrAu3O: relaxed, PBE.

Cell lengths 5.3289, 5.3289, 5.3289 Å; angles 90.00, 90.00, 90.00 degrees
Space group Pm-3m (No. 221)
Unique sites:
Zr 0.0000 0.0000 0.0000 x1
Au 0.0000 0.0000 0.5000 x3
O 0.5000 0.5000 0.5000 x1

Values from the calculation:
The total moment comes out at 1.063 Bohr magnetons per cell. The electronic total energy is -3.491 eV per atom. The calculation puts the energy relative to the elements, uncorrected at 1.18 eV per atom.


# 4
ZrAu2O: relaxed, PBE.

Cell lengths 7.6270, 7.6270, 4.7679 Å; angles 90.00, 90.00, 90.00 degrees
Space group I-42d (No. 122)
Unique sites:
Zr 0.0000 0.0000 0.0000 x4
Au 0.1939 0.2500 0.6250 x8
O 0.0000 0.0000 0.5000 x4

Values from the calculation:
The total moment comes out at 0.000 Bohr magnetons per cell. The electronic total energy is -5.549 eV per atom. The calculation puts the energy relative to the elements, uncorrected at -0.53 eV per atom.


# 5
ZrAuO: relaxed, PBE.

Cell lengths 3.4864, 3.4864, 15.4082 Å; angles 90.00, 90.00, 90.00 degrees
Space group I4/mmm (No. 139)
Unique sites:
Zr 0.0000 0.0000 0.0882 x4
Au 0.0000 0.0000 0.3009 x4
O 0.0000 0.5000 0.0000 x4

Values from the calculation:
The total moment comes out at 0.000 Bohr magnetons per cell. The electronic total energy is -7.207 eV per atom. The calculation puts the energy relative to the elements, uncorrected at -1.61 eV per atom.


# 6
Zr2Au2O: relaxed, PBE.

Cell lengths 6.0431, 6.0431, 4.9781 Å; angles 90.00, 90.00, 90.00 degrees
Space group P4/mbm (No. 127)
Unique sites:
Zr 0.1750 0.3250 0.0000 x4
Au 0.1573 0.6573 0.5000 x4
O 0.0000 0.0000 0.0000 x2

Values from the calculation:
The total moment comes out at 0.000 Bohr magnetons per cell. The electronic total energy is -6.867 eV per atom. The calculation puts the energy relative to the elements, uncorrected at -1.14 eV per atom.


# 7
Zr2AuO2: relaxed, PBE.

Cell lengths 3.7882, 3.7882, 10.6686 Å; angles 90.00, 90.00, 90.00 degrees
Space group I4/mmm (No. 139)
Unique sites:
Zr 0.0000 0.0000 0.1476 x4
Au 0.0000 0.0000 0.5000 x2
O 0.0000 0.5000 0.2500 x4

Values from the calculation:
The total moment comes out at 0.000 Bohr magnetons per cell. The electronic total energy is -8.175 eV per atom. The calculation puts the energy relative to the elements, uncorrected at -2.12 eV per atom.


# 8
OsAu2: relaxed, PBE.

Cell lengths 2.7945, 15.6054, 4.5767 Å; angles 90.00, 90.00, 90.00 degrees
Space group Cmcm (No. 63)
Unique sites:
Os 0.0000 0.2259 0.2500 x4
Au 0.0000 0.1181 0.7500 x4
Au 0.0000 0.4434 0.7500 x4

Values from the calculation:
The total moment comes out at 0.000 Bohr magnetons per cell. The electronic total energy is -5.490 eV per atom.


# 9
Os2Au: relaxed, PBE.

Cell lengths 6.1749, 6.1749, 6.1749 Å; angles 90.00, 90.00, 90.00 degrees
Space group Pa-3 (No. 205)
Unique sites:
Os 0.1052 0.1052 0.1052 x8
Au 0.0000 0.0000 0.5000 x4

Values from the calculation:
The total moment comes out at 0.059 Bohr magnetons per cell. The electronic total energy is -6.828 eV per atom.


# 10
OsAu3: relaxed, PBE.

Cell lengths 4.1935, 4.1935, 7.8075 Å; angles 90.00, 90.00, 90.00 degrees
Space group I4/mmm (No. 139)
Unique sites:
Os 0.0000 0.0000 0.0000 x2
Au 0.0000 0.0000 0.5000 x2
Au 0.0000 0.5000 0.2500 x4

Values from the calculation:
The total moment comes out at 3.574 Bohr magnetons per cell. The electronic total energy is -4.608 eV per atom.


# 11
OsAu3: relaxed, PBE.

Cell lengths 8.5600, 8.2297, 3.9397 Å; angles 90.00, 90.00, 90.00 degrees
Space group Cmcm (No. 63)
Unique sites:
Os 0.0000 0.0890 0.2500 x4
Au 0.0000 0.3630 0.7500 x4
Au 0.2428 0.3712 0.2500 x8

Values from the calculation:
The total moment comes out at 0.000 Bohr magnetons per cell. The electronic total energy is -4.839 eV per atom.


# 12
OsAu3: relaxed, PBE.

Cell lengths 4.8208, 9.5647, 5.9369 Å; angles 90.00, 90.00, 90.00 degrees
Space group Pnma (No. 62)
Unique sites:
Os 0.0797 0.2500 0.1597 x4
Au 0.0767 0.2500 0.6279 x4
Au 0.2407 0.5008 0.8790 x8

Values from the calculation:
The total moment comes out at 0.000 Bohr magnetons per cell. The electronic total energy is -4.823 eV per atom.


- electronic total energy of number 10 (OsAu3)?
  -4.608 eV per atom